NaSeI4 after structural relaxation, computed with PBE-GGA.

Results
total moment = 0.00 μB per atom
excess energy over the best structure of this formula in the dataset = 0.10 eV per formula unit
density of states at the Fermi level = 4.19 states/eV/cell
final energy = -0.0795 Ha/atom
formation energy from raw total energies = -329 meV per atom

POSCAR file:
```
NaSeI4
1.0
-6.2334 4.5998 2.0666
1.8511 -6.3631 5.3715
7.1415 5.7601 0.3540
Na Se I
2 2 8
direct
0.4271 0.6771 0.3542
0.5729 0.3229 0.6458
0.0757 0.8257 0.6514
0.9243 0.1743 0.3486
0.0236 0.2677 0.1061
0.5825 0.8384 0.1061
0.2865 0.5170 0.6068
0.7135 0.4830 0.3932
0.1797 0.9101 0.3932
0.4175 0.1616 0.8939
0.8203 0.0899 0.6068
0.9764 0.7323 0.8939
```